--- A ---
A plane-wave DFT calculation with PBE was carried out for a geometry-optimized LiYNiB structure.

Cell and atoms, written as CIF:
```
data_LiYNiB
_cell_length_a 6.185
_cell_length_b 6.185
_cell_length_c 6.185
_cell_angle_alpha 90.00
_cell_angle_beta 90.00
_cell_angle_gamma 90.00
_space_group_name_H-M_alt 'F -4 3 m'
_space_group_IT_number 216
_space_group_name_Hall 'F -4 2 3'
loop_
_atom_site_label
_atom_site_type_symbol
_atom_site_fract_x
_atom_site_fract_y
_atom_site_fract_z
Li1 Li 0.000 0.000 0.000
Y1 Y 0.000 0.000 0.500
Ni1 Ni 0.250 0.250 0.750
B1 B 0.250 0.250 0.250
```


--- B ---
A plane-wave DFT calculation with PBE was carried out for a geometry-optimized LiYNiB structure.

Cell and atoms, written as CIF:
```
data_LiYNiB
_cell_length_a 6.004
_cell_length_b 6.004
_cell_length_c 6.004
_cell_angle_alpha 90.00
_cell_angle_beta 90.00
_cell_angle_gamma 90.00
_space_group_name_H-M_alt 'F -4 3 m'
_space_group_IT_number 216
_space_group_name_Hall 'F -4 2 3'
loop_
_atom_site_label
_atom_site_type_symbol
_atom_site_fract_x
_atom_site_fract_y
_atom_site_fract_z
Li1 Li 0.000 0.000 0.000
Y1 Y 0.250 0.250 0.750
Ni1 Ni 0.000 0.000 0.500
B1 B 0.250 0.250 0.250
```


Quick one: least stable of them? A